A.
A geometry-optimized V6CrTc2 structure. Source: the Alexandria database, functional PBE.

Cell and atoms, written as CIF:
```
data_V6CrTc2
_cell_length_a 10.154
_cell_length_b 5.014
_cell_length_c 5.259
_cell_angle_alpha 90.00
_cell_angle_beta 108.08
_cell_angle_gamma 90.00
_symmetry_space_group_name_H-M 'C 1 2/m 1'
_symmetry_Int_Tables_number 12
loop_
_symmetry_equiv_pos_as_xyz
'x,y,z'
'-x,-y,-z'
'-x,y,-z'
'x,-y,z'
'x+1/2,y+1/2,z'
'-x+1/2,-y+1/2,-z'
'-x+1/2,y+1/2,-z'
'x+1/2,-y+1/2,z'
loop_
_atom_site_label
_atom_site_fract_x
_atom_site_fract_y
_atom_site_fract_z
V1 0.122 0.248 0.267
V2 0.183 0.500 0.878
Cr1 0.000 0.500 0.500
Tc1 0.117 0.000 0.725
```

Values from the calculation:
Total magnetization   0.00 μB per formula unit


B.
A geometry-optimized V6CrTc2 structure. Source: the Alexandria database, functional PBE.

Cell and atoms, written as CIF:
```
data_V6CrTc2
_cell_length_a 4.2564
_cell_length_b 4.2564
_cell_length_c 7.6941
_cell_angle_alpha 90.00
_cell_angle_beta 90.00
_cell_angle_gamma 120.00
_symmetry_space_group_name_H-M 'P -3 m 1'
_symmetry_Int_Tables_number 164
_symmetry_space_group_name_Hall '-P 3 2"'
loop_
_atom_site_label
_atom_site_fract_x
_atom_site_fract_y
_atom_site_fract_z
V1 0.0000 0.0000 0.1752
V2 0.3333 0.6667 0.3916
V3 0.3333 0.6667 0.7207
Cr1 0.0000 0.0000 0.5000
Tc1 0.3333 0.6667 0.0586
```

Values from the calculation:
Total magnetization   0.00 μB per formula unit


Bottom line: B, by a margin of 0.377 eV/atom.


A.
A geometry-optimized V2CrTc structure. Source: the Alexandria database, functional PBE.

Cell and atoms, written as CIF:
```
data_V2CrTc
_cell_length_a 5.946
_cell_length_b 5.946
_cell_length_c 5.946
_cell_angle_alpha 90.00
_cell_angle_beta 90.00
_cell_angle_gamma 90.00
_symmetry_space_group_name_H-M 'F m -3 m'
_symmetry_Int_Tables_number 225
_symmetry_space_group_name_Hall '-F 4 2 3'
loop_
_atom_site_label
_atom_site_fract_x
_atom_site_fract_y
_atom_site_fract_z
V1 0.250 0.250 0.250
Cr1 0.000 0.000 0.000
Tc1 0.000 0.000 0.500
```

Values from the calculation:
Total magnetization   0.00 μB per formula unit


B.
A geometry-optimized V2CrTc structure. Source: the Alexandria database, functional PBE.

Cell and atoms, written as CIF:
```
data_V2CrTc
_cell_length_a 6.605
_cell_length_b 6.605
_cell_length_c 5.141
_cell_angle_alpha 90.00
_cell_angle_beta 90.00
_cell_angle_gamma 90.00
_symmetry_space_group_name_H-M 'I -4 2 d'
_symmetry_Int_Tables_number 122
_symmetry_space_group_name_Hall 'I -4 2bw'
loop_
_atom_site_label
_atom_site_fract_x
_atom_site_fract_y
_atom_site_fract_z
V1 0.241 0.250 0.125
Cr1 0.000 0.000 0.000
Tc1 0.000 0.000 0.500
```

Values from the calculation:
Total magnetization   0.00 μB per formula unit


Bottom line: A, by a margin of 0.745 eV/atom.